In2FeAgO | PBE+U | relaxed

- calculated total energy (eV per atom) = -3.999
- crystal system = tetragonal
- total magnetic moment (μB per cell) = 3.56

Unit cell a=5.249 b=5.249 c=3.739 alpha=90.00 beta=90.00 gamma=90.00
Space group P4/mmm (No. 123)
Inequivalent atoms, fractional coordinates:
In 0.000 0.500 0.000 [2 per cell]
Fe 0.000 0.000 0.500 [1 per cell]
Ag 0.500 0.500 0.500 [1 per cell]
O 0.000 0.000 0.000 [1 per cell]